(1)
Below is a crystal of ZrCoP2 relaxed with PBEsol, with properties calculated at the meta-GGA SCAN level.

Summary:
crystal system = tetragonal
relative energy among the computed polymorphs = 166.0 meV per atom

CIF file:
```
data_ZrCoP2
_chemical_formula_sum 'Zr2 Co2 P4'
_cell_length_a 3.5647
_cell_length_b 3.5647
_cell_length_c 8.7273
_cell_angle_alpha 90.00
_cell_angle_beta 90.00
_cell_angle_gamma 90.00
_symmetry_space_group_name_H-M 'I -4 m 2'
_symmetry_Int_Tables_number 119
_symmetry_space_group_name_Hall 'I -4 -2'
loop_
_atom_site_label
_atom_site_type_symbol
_atom_site_fract_x
_atom_site_fract_y
_atom_site_fract_z
Zr1 Zr 0.0000 0.0000 0.0000
Co1 Co 0.0000 0.5000 0.2500
P1 P 0.0000 0.0000 0.5000
P2 P 0.0000 0.5000 0.7500
```

***

(2)
Below is a crystal of KCoRh relaxed with PBEsol, with properties calculated at the meta-GGA SCAN level.

Summary:
crystal system = cubic

CIF file:
```
data_KCoRh
_chemical_formula_sum 'K4 Co4 Rh4'
_cell_length_a 6.1988
_cell_length_b 6.1988
_cell_length_c 6.1988
_cell_angle_alpha 90.00
_cell_angle_beta 90.00
_cell_angle_gamma 90.00
_symmetry_space_group_name_H-M 'F -4 3 m'
_symmetry_Int_Tables_number 216
_symmetry_space_group_name_Hall 'F -4 2 3'
loop_
_atom_site_label
_atom_site_type_symbol
_atom_site_fract_x
_atom_site_fract_y
_atom_site_fract_z
K1 K 0.0000 0.0000 0.0000
Co1 Co 0.2500 0.2500 0.2500
Rh1 Rh 0.2500 0.2500 0.7500
```

***

(3)
Below is a crystal of K2AlAu2 relaxed with PBEsol, with properties calculated at the meta-GGA SCAN level.

Summary:
crystal system = tetragonal

CIF file:
```
data_K2AlAu2
_chemical_formula_sum 'K4 Al2 Au4'
_cell_length_a 4.3300
_cell_length_b 4.3300
_cell_length_c 14.3440
_cell_angle_alpha 90.00
_cell_angle_beta 90.00
_cell_angle_gamma 90.00
_symmetry_space_group_name_H-M 'I 4/m m m'
_symmetry_Int_Tables_number 139
_symmetry_space_group_name_Hall '-I 4 2'
loop_
_atom_site_label
_atom_site_type_symbol
_atom_site_fract_x
_atom_site_fract_y
_atom_site_fract_z
K1 K 0.0000 0.5000 0.2500
Al1 Al 0.0000 0.0000 0.0000
Au1 Au 0.0000 0.0000 0.4093
```

***

(4)
Below is a crystal of MgTcRu2 relaxed with PBEsol, with properties calculated at the meta-GGA SCAN level.

Summary:
crystal system = monoclinic

CIF file:
```
data_MgTcRu2
_chemical_formula_sum 'Mg1 Tc1 Ru2'
_cell_length_a 2.7349
_cell_length_b 4.0588
_cell_length_c 5.0839
_cell_angle_alpha 90.00
_cell_angle_beta 90.16
_cell_angle_gamma 90.00
_symmetry_space_group_name_H-M 'P 1 m 1'
_symmetry_Int_Tables_number 6
loop_
_symmetry_equiv_pos_as_xyz
'x,y,z'
'x,-y,z'
loop_
_atom_site_label
_atom_site_type_symbol
_atom_site_fract_x
_atom_site_fract_y
_atom_site_fract_z
Mg1 Mg 0.0000 0.0000 0.0000
Tc1 Tc 0.4994 0.5000 0.7322
Ru1 Ru 0.0008 0.0000 0.5005
Ru2 Ru 0.5004 0.5000 0.2197
```

***

Number 1: V 110.9 Å³/cell, formation energy from the elements -0.361 eV/atom, M_tot 0.01 μB/cell. Number 2: V 238.2 Å³/cell, formation energy from the elements 2.141 eV/atom, M_tot 10.12 μB/cell. Number 3: V 268.9 Å³/cell, formation energy from the elements 0.231 eV/atom, M_tot 0.00 μB/cell. Number 4: V 56.4 Å³/cell, formation energy from the elements 0.148 eV/atom, M_tot 0.00 μB/cell.